Record 1
The following is a PBE calculation of CsNaTe2 after structural relaxation, from the Alexandria database.

Formation energy without anion corrections ... -73.7 kJ per mole of atoms
Offset from the most stable computed form ... 0.00 eV/f.u.

The structure in POSCAR format:
```
CsNaTe2
1.0
10.713 0.000 0.000
0.000 5.260 0.000
0.000 0.000 12.912
Cs Na Te
4 4 8
direct
0.175 0.250 0.157
0.325 0.750 0.657
0.675 0.250 0.343
0.825 0.750 0.843
0.093 0.250 0.444
0.407 0.750 0.944
0.593 0.250 0.056
0.907 0.750 0.556
0.029 0.250 0.689
0.235 0.750 0.370
0.265 0.250 0.870
0.471 0.750 0.189
0.529 0.250 0.811
0.735 0.750 0.130
0.765 0.250 0.630
0.971 0.750 0.311
```

---

Record 2
The following is a PBE calculation of Cs2NaTe after structural relaxation, from the Alexandria database.

Formation energy without anion corrections ... -45.1 kJ per mole of atoms
DOS at the Fermi energy ... 8.4 states/eV per cell
Offset from the most stable computed form ... 0.28 eV/f.u.

The structure in POSCAR format:
```
Cs2NaTe
1.0
2.775 1.602 13.299
-2.775 1.602 13.299
0.000 -3.205 13.299
Cs Na Te
2 1 1
direct
0.121 0.121 0.121
0.879 0.879 0.879
0.000 0.000 0.000
0.500 0.500 0.500
```

---

Record 3
The following is a PBE calculation of CsNaThTe3 after structural relaxation, from the Alexandria database.

Formation energy without anion corrections ... -111.1 kJ per mole of atoms
DOS at the Fermi energy ... 0.0 states/eV per cell

The structure in POSCAR format:
```
CsNaThTe3
1.0
10.296 0.000 0.000
0.000 4.747 0.000
-3.487 0.000 10.602
Cs Na Th Te
2 2 2 6
direct
0.224 0.250 0.261
0.776 0.750 0.739
0.072 0.250 0.601
0.928 0.750 0.399
0.321 0.750 0.850
0.679 0.250 0.150
0.132 0.250 0.884
0.238 0.750 0.560
0.469 0.750 0.148
0.531 0.250 0.852
0.762 0.250 0.440
0.868 0.750 0.116
```

---

Record 4
The following is a PBE calculation of CsNa3Th2Te6 after structural relaxation, from the Alexandria database.

Formation energy without anion corrections ... -106.6 kJ per mole of atoms

The structure in POSCAR format:
```
CsNa3Th2Te6
1.0
9.821 -2.320 0.000
9.821 2.320 0.000
-2.002 0.000 10.735
Cs Na Th Te
1 3 2 6
direct
0.000 0.000 0.000
0.000 0.000 0.500
0.350 0.350 0.258
0.650 0.650 0.742
0.336 0.336 0.661
0.664 0.664 0.339
0.170 0.170 0.547
0.190 0.190 0.162
0.491 0.491 0.713
0.509 0.509 0.287
0.810 0.810 0.838
0.830 0.830 0.453
```

---

Record 5
The following is a PBE calculation of CsNa2ThTe4 after structural relaxation, from the Alexandria database.

Formation energy without anion corrections ... -79.5 kJ per mole of atoms
DOS at the Fermi energy ... 11.7 states/eV per cell

The structure in POSCAR format:
```
CsNa2ThTe4
1.0
-4.250 4.262 4.835
4.250 -4.262 4.835
4.250 4.262 -4.835
Cs Na Th Te
1 2 1 4
direct
0.000 0.000 0.000
0.250 0.750 0.500
0.750 0.250 0.500
0.500 0.500 0.000
0.120 0.120 0.586
0.466 0.880 0.000
0.534 0.534 0.414
0.880 0.466 0.000
```

---

Record 6
The following is a PBE calculation of Cs4NaTh3Te8 after structural relaxation, from the Alexandria database.

Formation energy without anion corrections ... -115.2 kJ per mole of atoms
DOS at the Fermi energy ... 6.6 states/eV per cell

The structure in POSCAR format:
```
Cs4NaTh3Te8
1.0
4.680 2.702 8.920
-4.680 2.702 8.920
0.000 -5.404 8.920
Cs Na Th Te
4 1 3 8
direct
0.000 0.000 0.000
0.000 0.500 0.500
0.500 0.000 0.500
0.500 0.500 0.000
0.500 0.500 0.500
0.000 0.000 0.500
0.000 0.500 0.000
0.500 0.000 0.000
0.217 0.738 0.738
0.232 0.232 0.232
0.262 0.262 0.783
0.262 0.783 0.262
0.738 0.217 0.738
0.738 0.738 0.217
0.768 0.768 0.768
0.783 0.262 0.262
```

---

Record 7
The following is a PBE calculation of Cs3NaTh2Te6 after structural relaxation, from the Alexandria database.

Formation energy without anion corrections ... -115.5 kJ per mole of atoms

The structure in POSCAR format:
```
Cs3NaTh2Te6
1.0
11.257 -2.350 0.000
11.257 2.350 0.000
-3.558 0.000 9.849
Cs Na Th Te
3 1 2 6
direct
0.000 0.000 0.000
0.344 0.344 0.670
0.656 0.656 0.330
0.000 0.000 0.500
0.337 0.337 0.175
0.663 0.663 0.825
0.169 0.169 0.631
0.181 0.181 0.047
0.478 0.478 0.264
0.522 0.522 0.736
0.819 0.819 0.953
0.831 0.831 0.369
```

---

Record 8
The following is a PBE calculation of CsNaTiTe3 after structural relaxation, from the Alexandria database.

Formation energy without anion corrections ... -83.1 kJ per mole of atoms

The structure in POSCAR format:
```
CsNaTiTe3
1.0
4.100 -7.542 0.000
4.100 7.542 0.000
0.000 0.000 7.697
Cs Na Ti Te
2 2 2 6
direct
0.231 0.769 0.750
0.769 0.231 0.250
0.428 0.572 0.250
0.572 0.428 0.750
0.055 0.945 0.250
0.945 0.055 0.750
0.223 0.223 0.000
0.223 0.223 0.500
0.224 0.776 0.250
0.776 0.224 0.750
0.777 0.777 0.000
0.777 0.777 0.500
```

---

Record 9
The following is a PBE calculation of CsNaTlTe after structural relaxation, from the Alexandria database.

Formation energy without anion corrections ... -57.2 kJ per mole of atoms
DOS at the Fermi energy ... 8.2 states/eV per cell

The structure in POSCAR format:
```
CsNaTlTe
1.0
4.892 0.000 0.000
0.000 4.892 0.000
0.000 0.000 15.230
Cs Na Tl Te
2 2 2 2
direct
0.250 0.250 0.231
0.750 0.750 0.769
0.250 0.750 0.000
0.750 0.250 0.000
0.250 0.750 0.500
0.750 0.250 0.500
0.250 0.250 0.872
0.750 0.750 0.128
```

---

Record 10
The following is a PBE calculation of CsNaTlTe2 after structural relaxation, from the Alexandria database.

Formation energy without anion corrections ... -55.8 kJ per mole of atoms
DOS at the Fermi energy ... 2.1 states/eV per cell

The structure in POSCAR format:
```
CsNaTlTe2
1.0
3.546 -7.892 0.000
3.546 7.892 0.000
0.000 0.000 7.390
Cs Na Tl Te
2 2 2 4
direct
0.250 0.750 0.773
0.750 0.250 0.227
0.250 0.250 0.500
0.750 0.750 0.500
0.000 0.000 0.000
0.500 0.500 0.000
0.137 0.863 0.276
0.363 0.637 0.276
0.637 0.363 0.724
0.863 0.137 0.724
```

---

Record 11
The following is a PBE calculation of Cs3NaU2Te6 after structural relaxation, from the Alexandria database.

Formation energy without anion corrections ... -88.6 kJ per mole of atoms
DOS at the Fermi energy ... 9.5 states/eV per cell

The structure in POSCAR format:
```
Cs3NaU2Te6
1.0
4.030 -6.978 0.000
4.030 6.978 0.000
-2.666 0.000 8.854
Cs Na U Te
3 1 2 6
direct
0.000 0.000 0.000
0.343 0.657 0.000
0.657 0.343 0.000
0.500 0.500 0.500
0.168 0.832 0.500
0.832 0.168 0.500
0.078 0.436 0.309
0.206 0.206 0.686
0.436 0.078 0.309
0.564 0.922 0.691
0.794 0.794 0.314
0.922 0.564 0.691
```

---

Record 12
The following is a PBE calculation of Cs4NaU3Te8 after structural relaxation, from the Alexandria database.

Formation energy without anion corrections ... -86.5 kJ per mole of atoms
DOS at the Fermi energy ... 13.4 states/eV per cell

The structure in POSCAR format:
```
Cs4NaU3Te8
1.0
4.645 2.682 8.855
-4.645 2.682 8.855
0.000 -5.364 8.855
Cs Na U Te
4 1 3 8
direct
0.000 0.000 0.000
0.000 0.500 0.500
0.500 0.000 0.500
0.500 0.500 0.000
0.500 0.500 0.500
0.000 0.000 0.500
0.000 0.500 0.000
0.500 0.000 0.000
0.213 0.738 0.738
0.230 0.230 0.230
0.262 0.262 0.787
0.262 0.787 0.262
0.738 0.213 0.738
0.738 0.738 0.213
0.770 0.770 0.770
0.787 0.262 0.262
```

---

no.,E (eV per atom)
1,-2.878
2,-2.009
3,-4.321
4,-4.314
5,-3.758
6,-4.452
7,-4.328
8,-4.110
9,-2.513
10,-2.742
11,-4.694
12,-4.879